Entry 1:
Material: La2BeVPd
Method: DFT, PBE
State: relaxed Values from VASP.

Cell and atoms, written as Quantum ESPRESSO input:
```
&SYSTEM
  ibrav = 0, nat = 5, ntyp = 4
/
ATOMIC_SPECIES
Be 9.01 Be.upf
V 50.94 V.upf
Pd 106.42 Pd.upf
La 138.91 La.upf
ATOMIC_POSITIONS angstrom
Be 0.0000 0.0000 0.0000
V 0.0000 2.1764 0.0000
Pd 2.7011 2.1764 2.7011
La 0.0000 0.0000 2.7011
La 2.7011 0.0000 0.0000
CELL_PARAMETERS angstrom
5.4022 0.0000 0.0000
0.0000 4.3528 0.0000
0.0000 0.0000 5.4022
```

For the energy of formation, the calculation gives 0.371 eV/atom.

=====

Entry 2:
Material: TbNp2ScSb4
Method: DFT, PBE
State: relaxed Values from VASP.

Cell and atoms, written as Quantum ESPRESSO input:
```
&SYSTEM
  ibrav = 0, nat = 8, ntyp = 4
/
ATOMIC_SPECIES
Tb 158.93 Tb.upf
Np 237.00 Np.upf
Sc 44.96 Sc.upf
Sb 121.76 Sb.upf
ATOMIC_POSITIONS angstrom
Tb 2.1681 3.7511 0.0641
Np 2.1681 -1.3124 3.5399
Np 0.0000 2.4387 3.6040
Sc 0.0000 0.0000 0.0000
Sb 2.1681 1.1651 1.7286
Sb 2.1681 3.7124 5.4795
Sb 0.0000 -0.1500 5.3766
Sb 0.0000 5.0274 1.8315
CELL_PARAMETERS angstrom
4.3362 0.0000 0.0000
0.0000 7.5023 0.1282
0.0000 -2.6248 7.0799
```

As for the total energy: -58.2 eV/cell.

=====

Entry 3:
Material: Pd4Pt2Au
Method: DFT, PBE
State: relaxed Values from VASP.

Cell and atoms, written as Quantum ESPRESSO input:
```
&SYSTEM
  ibrav = 0, nat = 7, ntyp = 3
/
ATOMIC_SPECIES
Pd 106.42 Pd.upf
Pt 195.08 Pt.upf
Au 196.97 Au.upf
ATOMIC_POSITIONS angstrom
Pd 0.9856 -4.0529 -0.3451
Pd 1.4510 -5.2530 3.4968
Pd -0.5641 -5.5744 1.5424
Pd 3.0006 -3.7315 1.6093
Pt 0.5454 -7.8192 2.8156
Pt 1.8912 -1.4867 0.3361
Au 0.3475 -2.9928 2.2030
CELL_PARAMETERS angstrom
-2.9112 -2.8932 -2.6174
4.6529 -0.4272 1.3630
0.6949 -5.9855 4.4060
```

For the energy of formation, the calculation gives -0.029 eV/atom. For the polymorph energy (0 for the lowest one), the calculation gives 0 meV/atom.

=====

Entry 4:
Material: CdPt
Method: DFT, PBE
State: relaxed Values from VASP.

Cell and atoms, written as Quantum ESPRESSO input:
```
&SYSTEM
  ibrav = 0, nat = 4, ntyp = 2
/
ATOMIC_SPECIES
Pt 195.08 Pt.upf
Cd 112.41 Cd.upf
ATOMIC_POSITIONS angstrom
Pt 2.3511 -1.6230 0.6549
Pt 0.7353 -3.3333 2.4027
Cd 0.0000 0.0000 0.0000
Cd 0.7788 -0.4287 2.7929
CELL_PARAMETERS angstrom
-0.8370 -2.1391 4.5407
2.3076 -4.5276 0.2647
1.6594 4.6149 -1.3575
```

For the energy of formation, the calculation gives -0.237 eV/atom.

=====

Entry 5:
Material: Li2SiSnCO7
Method: DFT, PBE
State: relaxed Values from VASP.

Cell and atoms, written as Quantum ESPRESSO input:
```
&SYSTEM
  ibrav = 0, nat = 24, ntyp = 5
/
ATOMIC_SPECIES
Li 6.94 Li.upf
Si 28.09 Si.upf
Sn 118.71 Sn.upf
C 12.01 C.upf
O 16.00 O.upf
ATOMIC_POSITIONS angstrom
Li 3.2530 4.4009 6.7658
Li 0.0356 4.4009 6.7658
Li 3.3243 1.2045 1.9276
Li 6.5417 1.2045 1.9276
Si 1.6443 1.6771 5.0198
Si 4.9330 3.9284 3.6736
Sn 4.9330 1.3437 5.6023
Sn 1.6443 4.2617 3.0911
C 4.9330 1.7443 8.1898
C 1.6443 3.8612 0.5035
O 1.6443 4.0303 7.9052
O 4.9330 0.5324 7.6900
O 4.9330 2.7201 7.2751
O 0.3548 1.1330 5.8575
O 2.9338 1.1330 5.8575
O 4.9330 4.5046 5.2232
O 1.6443 3.3315 4.8955
O 4.9330 2.2739 3.7978
O 1.6443 1.1009 3.4702
O 3.6435 4.4724 2.8359
O 6.2225 4.4724 2.8359
O 1.6443 2.8854 1.4182
O 1.6443 5.0731 1.0033
O 4.9330 1.5752 0.7882
CELL_PARAMETERS angstrom
6.5773 0.0000 0.0000
0.0000 5.1830 0.0534
0.0000 0.4225 8.6400
```

As for the total energy: -161.8 eV/cell.

=====

Entry 6:
Material: CrN2
Method: DFT, PBE
State: relaxed Values from VASP.

Cell and atoms, written as Quantum ESPRESSO input:
```
&SYSTEM
  ibrav = 0, nat = 9, ntyp = 2
/
ATOMIC_SPECIES
Cr 52.00 Cr.upf
N 14.01 N.upf
ATOMIC_POSITIONS angstrom
Cr 1.9808 0.0000 6.4878
Cr 0.9904 -1.7154 3.8927
Cr 0.9904 1.7154 1.2976
N 1.9808 0.6421 2.5951
N 2.4151 1.3943 0.0000
N 1.5465 1.3943 5.1903
N 1.9808 -0.6421 2.5951
N 1.5465 -1.3943 0.0000
N 2.4151 -1.3943 5.1903
CELL_PARAMETERS angstrom
1.9808 -3.4308 0.0000
1.9808 3.4308 0.0000
0.0000 0.0000 7.7854
```

As for the total energy: -75.8 eV/cell.

=====

Entry 7:
Material: CaSc2Cl
Method: DFT, PBE
State: relaxed Values from VASP.

Cell and atoms, written as Quantum ESPRESSO input:
```
&SYSTEM
  ibrav = 0, nat = 4, ntyp = 3
/
ATOMIC_SPECIES
Sc 44.96 Sc.upf
Ca 40.08 Ca.upf
Cl 35.45 Cl.upf
ATOMIC_POSITIONS angstrom
Sc 0.0000 0.0000 9.0192
Sc 1.6810 1.6810 2.0723
Ca 0.0000 0.0000 4.7827
Cl 1.6810 1.6810 6.7454
CELL_PARAMETERS angstrom
3.3619 0.0000 0.0000
0.0000 3.3619 0.0000
0.0000 0.0000 9.0478
```

For the polymorph energy (0 for the lowest one), the calculation gives 109 meV/atom.

=====

Entry 8:
Material: Ta2BeSi
Method: DFT, PBE
State: relaxed Values from VASP.

Cell and atoms, written as Quantum ESPRESSO input:
```
&SYSTEM
  ibrav = 0, nat = 4, ntyp = 3
/
ATOMIC_SPECIES
Be 9.01 Be.upf
Si 28.09 Si.upf
Ta 180.95 Ta.upf
ATOMIC_POSITIONS angstrom
Be 0.0000 0.0000 0.0000
Si 3.0790 3.0790 3.0790
Ta 1.5395 1.5395 1.5395
Ta 4.6184 4.6184 4.6184
CELL_PARAMETERS angstrom
0.0000 3.0790 3.0790
3.0790 0.0000 3.0790
3.0790 3.0790 0.0000
```

For the polymorph energy (0 for the lowest one), the calculation gives 625 meV/atom.

=====

Entry 9:
Material: Na2Sb2Se3
Method: DFT, PBE
State: relaxed Values from VASP.

Cell and atoms, written as Quantum ESPRESSO input:
```
&SYSTEM
  ibrav = 0, nat = 7, ntyp = 3
/
ATOMIC_SPECIES
Na 22.99 Na.upf
Sb 121.76 Sb.upf
Se 78.96 Se.upf
ATOMIC_POSITIONS angstrom
Na 1.1203 -4.0959 4.9600
Na 1.4490 -2.0761 1.3557
Sb 4.5458 -1.9560 3.8461
Sb -1.9766 -4.2161 2.4695
Se 0.0000 0.0000 0.0000
Se -0.5934 -2.1047 3.6434
Se 3.1627 -4.0673 2.6722
CELL_PARAMETERS angstrom
-0.2095 2.1299 3.4727
-3.8291 -6.1764 1.1543
6.6079 -2.1256 1.6887
```

As for the total energy: -24.5 eV/cell.

=====

Entry 10:
Material: BeSn2H
Method: DFT, PBE
State: relaxed Values from VASP.

Cell and atoms, written as Quantum ESPRESSO input:
```
&SYSTEM
  ibrav = 0, nat = 4, ntyp = 3
/
ATOMIC_SPECIES
Be 9.01 Be.upf
Sn 118.71 Sn.upf
H 1.01 H.upf
ATOMIC_POSITIONS angstrom
Be 3.1994 3.1994 3.1994
Sn 1.5997 1.5997 1.5997
Sn 4.7991 4.7991 4.7991
H 0.0000 0.0000 0.0000
CELL_PARAMETERS angstrom
0.0000 3.1994 3.1994
3.1994 0.0000 3.1994
3.1994 3.1994 0.0000
```

For the polymorph energy (0 for the lowest one), the calculation gives 13 meV/atom.

=====

Entry 11:
Material: Mg3NiPd
Method: DFT, PBE
State: relaxed Values from VASP.

Cell and atoms, written as Quantum ESPRESSO input:
```
&SYSTEM
  ibrav = 0, nat = 5, ntyp = 3
/
ATOMIC_SPECIES
Ni 58.69 Ni.upf
Mg 24.30 Mg.upf
Pd 106.42 Pd.upf
ATOMIC_POSITIONS angstrom
Ni 0.0000 0.0000 0.0000
Mg 0.9571 -1.2029 1.7512
Mg 2.0524 1.0197 -0.4214
Mg -0.5488 1.7155 1.4784
Pd 2.4608 1.5323 2.8082
CELL_PARAMETERS angstrom
-1.0975 3.4310 2.9567
1.9143 -2.4058 3.5023
4.1049 2.0393 -0.8427
```

For the energy of formation, the calculation gives 0.128 eV/atom. For the polymorph energy (0 for the lowest one), the calculation gives 0 meV/atom.

=====

Entry 12:
Material: Li2InB2Rh5
Method: DFT, PBE
State: relaxed Values from VASP.

Cell and atoms, written as Quantum ESPRESSO input:
```
&SYSTEM
  ibrav = 0, nat = 20, ntyp = 4
/
ATOMIC_SPECIES
Li 6.94 Li.upf
In 114.82 In.upf
B 10.81 B.upf
Rh 102.91 Rh.upf
ATOMIC_POSITIONS angstrom
Li 0.0000 6.5092 1.6918
Li 0.0000 3.1256 7.9430
Li 0.0000 1.6918 3.1256
Li 0.0000 7.9430 6.5092
In 0.0000 0.0000 0.0000
In 0.0000 4.8174 4.8174
B 0.0000 1.1816 5.9990
B 0.0000 8.4532 3.6358
B 0.0000 5.9990 8.4532
B 0.0000 3.6358 1.1816
Rh 1.4614 2.1721 0.6968
Rh 1.4614 7.4627 8.9380
Rh 1.4614 0.6968 7.4627
Rh 1.4614 6.9895 4.1206
Rh 1.4614 8.9380 2.1721
Rh 1.4614 2.6453 5.5142
Rh 1.4614 5.5142 6.9895
Rh 1.4614 4.1206 2.6453
Rh 1.4614 4.8174 0.0000
Rh 1.4614 0.0000 4.8174
CELL_PARAMETERS angstrom
2.9228 0.0000 0.0000
0.0000 9.6348 0.0000
0.0000 0.0000 9.6348
```

For the energy of formation, the calculation gives -0.388 eV/atom.

=====

| no. | V (Å³/cell) |
| --- | --- |
| 1 | 127 |
| 2 | 232 |
| 3 | 110 |
| 4 | 71 |
| 5 | 294 |
| 6 | 106 |
| 7 | 102 |
| 8 | 58 |
| 9 | 202 |
| 10 | 66 |
| 11 | 101 |
| 12 | 271 |